(1)
6
Lattice="-3.907 -3.767 1.340 -2.553 -2.930 -4.019 1.062 -5.458 -0.584" Properties=species:S:1:pos:R:3 comment="PmNpAl4 | the Alexandria database | PBE | relaxed" e_form_kcal_per_mol_atoms=-5.48 n_ef_per_ev_atom=2.66 pbc="T T T"
Np -1.349 -3.039 -0.816
Al -3.898 -4.875 -1.747
Al -2.100 -6.132 -0.039
Al -3.370 -7.589 -2.037
Al -1.427 -5.716 -2.703
Pm 0.000 0.000 0.000

---

(2)
6
Lattice="-2.949 -1.352 4.587 2.666 -1.297 4.772 -0.178 3.531 4.366" Properties=species:S:1:pos:R:3 comment="PrNpAl4 | the Alexandria database | PBE | relaxed" e_form_kcal_per_mol_atoms=-5.13 n_ef_per_ev_atom=2.84 pbc="T T T"
Np 0.000 0.000 0.000
Pr -0.115 0.220 3.431
Al -0.199 -1.226 6.392
Al -1.631 1.205 6.188
Al -0.288 0.552 8.590
Al 1.196 1.232 6.281

---

(3)
6
Lattice="3.575 0.000 0.000 0.000 5.344 0.001 -1.787 -1.041 7.956" Properties=species:S:1:pos:R:3 comment="PrNpAl | the Alexandria database | PBE | relaxed" e_form_kcal_per_mol_atoms=-0.42 n_ef_per_ev_atom=1.61 pbc="T T T"
Np 1.787 0.285 4.100
Np 0.000 4.018 3.856
Al 1.787 4.132 1.427
Al 0.000 0.171 6.529
Pr 1.787 2.887 6.646
Pr 0.000 1.417 1.310

---

(4)
20
Lattice="3.366 0.000 0.000 0.000 10.400 0.000 0.000 0.000 10.400" Properties=species:S:1:pos:R:3 comment="Pr2NpAl2Ru5 | the Alexandria database | PBE | relaxed" e_form_kcal_per_mol_atoms=-7.24 n_ef_per_ev_atom=0.70 pbc="T T T"
Pr 0.000 6.978 1.778
Pr 0.000 3.422 8.622
Pr 0.000 1.778 3.422
Pr 0.000 8.622 6.978
Np 0.000 0.000 0.000
Np 0.000 5.200 5.200
Al 0.000 1.312 6.512
Al 0.000 9.087 3.888
Al 0.000 6.512 9.087
Al 0.000 3.888 1.312
Ru 1.683 2.069 0.675
Ru 1.683 8.330 9.725
Ru 1.683 0.675 8.330
Ru 1.683 7.269 4.525
Ru 1.683 9.725 2.069
Ru 1.683 3.130 5.875
Ru 1.683 5.875 7.269
Ru 1.683 4.525 3.130
Ru 1.683 5.200 0.000
Ru 1.683 0.000 5.200

---

(5)
13
Lattice="-0.304 -4.812 1.974 -2.304 -4.518 -5.017 5.818 -3.502 -0.767" Properties=species:S:1:pos:R:3 comment="NpAl11Pt | the Alexandria database | PBE | relaxed" e_form_kcal_per_mol_atoms=-4.72 n_ef_per_ev_atom=0.81 pbc="T T T"
Np 0.000 0.000 0.000
Al 0.655 -3.112 -0.690
Al 2.556 -9.721 -3.120
Al -0.711 -6.687 -3.103
Al 3.922 -6.145 -0.707
Al 2.173 -6.872 -3.048
Al 1.038 -5.960 -0.761
Al 2.953 -3.878 -2.267
Al 0.258 -8.954 -1.543
Al -1.152 -2.259 -2.509
Al 2.757 -4.157 0.604
Al 2.909 -1.751 -0.383
Pt -1.304 -4.665 -1.521

---

(6)
28
Lattice="4.282 0.000 0.000 0.000 6.682 0.000 0.000 0.000 17.208" Properties=species:S:1:pos:R:3 comment="NpAl4Pt2 | the Alexandria database | PBE | relaxed" e_form_kcal_per_mol_atoms=-16.96 n_ef_per_ev_atom=1.59 pbc="T T T"
Np 3.212 6.560 10.950
Np 1.071 0.122 6.258
Np 1.071 3.219 14.862
Np 3.212 3.463 2.346
Al 1.071 1.768 11.923
Al 3.212 4.914 5.285
Al 3.212 5.109 13.889
Al 1.071 1.573 3.319
Al 1.071 4.464 11.821
Al 3.212 2.218 5.387
Al 3.212 1.123 13.991
Al 1.071 5.559 3.217
Al 1.071 1.099 9.220
Al 3.212 5.583 7.988
Al 3.212 4.440 16.592
Al 1.071 2.242 0.616
Al 1.071 3.302 7.391
Al 3.212 3.380 9.817
Al 3.212 6.643 1.213
Al 1.071 0.039 15.995
Pt 1.071 5.050 9.276
Pt 3.212 1.632 7.932
Pt 3.212 1.709 16.536
Pt 1.071 4.973 0.672
Pt 1.071 6.443 13.476
Pt 3.212 0.239 3.732
Pt 3.212 3.102 12.336
Pt 1.071 3.580 4.872

---

(7)
4
Lattice="2.788 0.000 0.000 0.000 2.788 0.000 0.000 0.000 8.325" Properties=species:S:1:pos:R:3 comment="NpAl2Pt | the Alexandria database | PBE | relaxed" e_form_kcal_per_mol_atoms=-9.91 n_ef_per_ev_atom=1.01 pbc="T T T"
Np 1.394 1.394 4.163
Al 0.000 0.000 6.498
Al 0.000 0.000 1.827
Pt 1.394 1.394 0.000

---

(8)
9
Lattice="5.607 0.000 0.000 -2.803 4.682 1.106 0.000 0.062 6.319" Properties=species:S:1:pos:R:3 comment="Np2AlPt6 | the Alexandria database | PBE | relaxed" e_form_kcal_per_mol_atoms=-16.14 n_ef_per_ev_atom=2.30 pbc="T T T"
Np 2.803 1.378 1.180
Np 0.000 3.365 6.244
Al 0.000 0.000 0.000
Pt 4.172 1.268 4.636
Pt 2.803 3.561 5.241
Pt 1.435 1.268 4.636
Pt -1.368 3.476 2.789
Pt 0.000 1.182 2.184
Pt 1.368 3.476 2.789